No. 1
An optimized crystal structure of YTl3Br6, computed with PBE.

Summary:
V: 38.005 Å³ per atom

Cell lengths 7.794, 8.606, 13.393 Å; angles 90.00, 122.20, 90.00 degrees
Fractional positions:
1 Y 0.000 0.000 0.000
2 Y 0.000 0.500 0.500
3 Tl 0.298 0.079 0.768
4 Tl 0.298 0.421 0.268
5 Tl 0.500 0.000 0.500
6 Tl 0.500 0.500 0.000
7 Tl 0.702 0.579 0.732
8 Tl 0.702 0.921 0.232
9 Br 0.096 0.062 0.231
10 Br 0.096 0.438 0.731
11 Br 0.238 0.727 0.079
12 Br 0.238 0.773 0.579
13 Br 0.345 0.168 0.045
14 Br 0.345 0.332 0.545
15 Br 0.655 0.668 0.455
16 Br 0.655 0.832 0.955
17 Br 0.762 0.227 0.421
18 Br 0.762 0.273 0.921
19 Br 0.904 0.562 0.269
20 Br 0.904 0.938 0.769

=====

No. 2
An optimized crystal structure of Y4TlBr, computed with PBE.

Summary:
V: 31.638 Å³ per atom

Cell lengths 6.451, 6.451, 6.451 Å; angles 60.00, 60.00, 60.00 degrees
Fractional positions:
1 Y 0.377 0.377 0.377
2 Y 0.377 0.377 0.869
3 Y 0.377 0.869 0.377
4 Y 0.869 0.377 0.377
5 Tl 0.750 0.750 0.750
6 Br 0.000 0.000 0.000

=====

Energy relative to the elements, uncorrected (meV/atom)
-1287; 206
Total magnetization (μB per atom)
0.00; 0.00